The following is a DFT calculation (PBE-GGA) of a geometry-optimized MnCu2Ag structure.

Properties
The excess energy over the best structure of this formula in the dataset comes out at 54 meV per atom. For the total energy, the calculation gives -4.85 eV per atom. As for the theoretical density: 8.44 g/cm³. Its energy relative to the elements is 0.81 eV/f.u.

Geometry as CIF:
```
data_MnCu2Ag
_symmetry_space_group_name_H-M 'C 1 2/m 1'
_symmetry_Int_Tables_number 12
_cell_length_a 8.831
_cell_length_b 2.799
_cell_length_c 4.708
_cell_angle_alpha 90.00
_cell_angle_beta 101.33
_cell_angle_gamma 90.00
loop_
_symmetry_equiv_pos_as_xyz
'x,y,z'
'-x,-y,-z'
'-x,y,-z'
'x,-y,z'
'x+1/2,y+1/2,z'
'-x+1/2,-y+1/2,-z'
'-x+1/2,y+1/2,-z'
'x+1/2,-y+1/2,z'
loop_
_atom_site_label
_atom_site_fract_x
_atom_site_fract_y
_atom_site_fract_z
_atom_site_occupancy
Mn1 0.000 0.000 0.000 1
Cu1 0.245 0.500 0.235 1
Ag1 0.000 0.500 0.500 1
```


The following is a DFT calculation (PBE-GGA) of a geometry-optimized Tm2NpCuO8 structure.

Properties
The raw formation energy is -30.234 eV/f.u. For the total energy, the calculation gives -7.99 eV per atom. As for the theoretical density: 8.16 g/cm³.

Geometry as CIF:
```
data_Tm2NpCuO8
_symmetry_space_group_name_H-M 'P -1'
_symmetry_Int_Tables_number 2
_cell_length_a 4.394
_cell_length_b 5.083
_cell_length_c 7.075
_cell_angle_alpha 82.85
_cell_angle_beta 87.32
_cell_angle_gamma 84.20
loop_
_symmetry_equiv_pos_as_xyz
'x,y,z'
'-x,-y,-z'
loop_
_atom_site_label
_atom_site_fract_x
_atom_site_fract_y
_atom_site_fract_z
_atom_site_occupancy
Tm1 0.076 0.015 0.234 1
Np1 0.500 0.500 0.500 1
Cu1 0.500 0.500 0.000 1
O1 0.119 0.741 0.522 1
O2 0.195 0.781 0.999 1
O3 0.363 0.355 0.239 1
O4 0.385 0.205 0.683 1
```


The following is a DFT calculation (PBE-GGA) of a geometry-optimized Cu2BiPbO6 structure.

Properties
The raw formation energy is -7.314 eV/f.u. For the total energy, the calculation gives -5.28 eV per atom. As for the theoretical density: 8.63 g/cm³.

Geometry as CIF:
```
data_Cu2BiPbO6
_symmetry_space_group_name_H-M 'R 3'
_symmetry_Int_Tables_number 146
_symmetry_space_group_name_Hall 'R 3'
_cell_length_a 5.4929
_cell_length_b 5.4929
_cell_length_c 14.1277
_cell_angle_alpha 90.00
_cell_angle_beta 90.00
_cell_angle_gamma 120.00
loop_
_atom_site_label
_atom_site_fract_x
_atom_site_fract_y
_atom_site_fract_z
_atom_site_occupancy
Cu1 0.0000 0.0000 0.0000 1
Cu2 0.0000 0.0000 0.4987 1
Bi1 0.0000 0.0000 0.7189 1
Pb1 0.0000 0.0000 0.2122 1
O1 0.0141 0.5889 0.7595 1
O2 0.0187 0.3958 0.2597 1
```


The following is a DFT calculation (PBE-GGA) of a geometry-optimized Cr2Co2Pd structure.

Properties
The excess energy over the best structure of this formula in the dataset comes out at 301 meV per atom. For the total energy, the calculation gives -7.32 eV per atom. As for the theoretical density: 8.53 g/cm³. Its energy relative to the elements is 2.07 eV/f.u.

Geometry as CIF:
```
data_Cr2Co2Pd
_symmetry_space_group_name_H-M 'I 4/m m m'
_symmetry_Int_Tables_number 139
_symmetry_space_group_name_Hall '-I 4 2'
_cell_length_a 3.592
_cell_length_b 3.592
_cell_length_c 9.903
_cell_angle_alpha 90.00
_cell_angle_beta 90.00
_cell_angle_gamma 90.00
loop_
_atom_site_label
_atom_site_fract_x
_atom_site_fract_y
_atom_site_fract_z
_atom_site_occupancy
Cr1 0.000 0.000 0.105 1
Co1 0.000 0.500 0.250 1
Pd1 0.000 0.000 0.500 1
```